Material: LaPbS2
Method: DFT, PBE
State: relaxed

```
LaPbS2
1.0
-0.3890 1.9515 3.5752
-1.6846 -1.9116 3.2015
5.9902 -2.4266 4.3177
S Pb La
2 1 1
Direct
0.0855 0.0855 0.7436
0.2484 0.2484 0.2549
0.6666 0.6666 0.0003
0.4996 0.4996 0.5013
```

Output
- ρ: 6.345 g cm⁻³
- Formation energy from raw total energies: -117.6 kJ per mole of atoms